The following is a meta-GGA SCAN calculation of SrCd2Ni2 at its PBEsol-relaxed geometry, from Alexandria via LeMat-Bulk.

Magnetization ... 0.00 μB per formula unit
Uncorrected energy ... -23.13 eV per atom

a b c (Å): 4.2610 4.2610 10.8892
angles (deg): 90.00 90.00 90.00
Last column: nearest neighbours and their distance in Å.
Space group I4/mmm (No. 139)
One atom of each set of equivalent atoms:
Sr (0.0000, 0.0000, 0.0000) (multiplicity 2)  8 Ni 3.22, 8 Cd 3.46
Cd (0.0000, 0.5000, 0.2500) (multiplicity 4)  4 Ni 2.66
Ni (0.0000, 0.0000, 0.3963) (multiplicity 4)  1 Ni 2.26



The following is a meta-GGA SCAN calculation of LiTeOs2 at its PBEsol-relaxed geometry, from Alexandria via LeMat-Bulk.

Magnetization ... 0.00 μB per formula unit
Formation energy from raw total energies ... 0.487 eV/atom

a b c (Å): 3.9379 3.9379 7.7128
angles (deg): 90.00 90.00 90.00
Last column: nearest neighbours and their distance in Å.
Space group I-4m2 (No. 119)
One atom of each set of equivalent atoms:
Li (0.0000, 0.0000, 0.0000) (multiplicity 2)  8 Os 2.76-2.78, 4 Te 2.76
Te (0.0000, 0.5000, 0.7500) (multiplicity 2)  4 Li 2.76, 8 Os 2.76-2.78
Os (0.0000, 0.0000, 0.5000) (multiplicity 2)  4 Os 2.76, 4 Te 2.76, 4 Li 2.78
Os (0.0000, 0.5000, 0.2500) (multiplicity 2)  4 Li 2.76, 4 Os 2.76, 4 Te 2.78



The following is a meta-GGA SCAN calculation of Co2AgOs at its PBEsol-relaxed geometry, from Alexandria via LeMat-Bulk.

Magnetization ... 4.31 μB per formula unit
Excess energy over the best structure of this formula in the dataset ... 48 meV/atom

a b c (Å): 2.7346 4.3903 8.8400
angles (deg): 90.00 90.00 90.00
Last column: nearest neighbours and their distance in Å.
Space group Cmm2 (No. 35)
One atom of each set of equivalent atoms:
Co (0.0000, 0.0000, 0.0000) (multiplicity 2)  6 Co 2.34-2.59
Co (0.0000, 0.5000, 0.2155) (multiplicity 2)  6 Co 2.34-2.59, 2 Os 2.52
Ag (0.0000, 0.5000, 0.7402) (multiplicity 2)  6 Ag 2.59-2.73, 2 Co 2.67, 2 Os 2.87
Os (0.0000, 0.0000, 0.4543) (multiplicity 2)  2 Co 2.52, 6 Os 2.59-2.73



The following is a meta-GGA SCAN calculation of Ag2As2Pt at its PBEsol-relaxed geometry, from Alexandria via LeMat-Bulk.

Magnetization ... 0.00 μB per formula unit
Uncorrected energy ... -34.73 eV per atom

a b c (Å): 6.2622 6.2622 4.8259
angles (deg): 90.00 90.00 90.00
Last column: nearest neighbours and their distance in Å.
Space group P4/mbm (No. 127)
One atom of each set of equivalent atoms:
Ag (0.2333, 0.2667, 0.0000) (multiplicity 4)  2 As 2.56
As (0.1373, 0.3627, 0.5000) (multiplicity 4)  2 Pt 2.43, 1 As 2.43, 2 Ag 2.56
Pt (0.0000, 0.0000, 0.5000) (multiplicity 2)  4 As 2.43



The following is a meta-GGA SCAN calculation of TbCo5P3 at its PBEsol-relaxed geometry, from Alexandria via LeMat-Bulk.

Magnetization ... 1.83 μB per formula unit
Uncorrected energy ... -19.06 eV per atom

a b c (Å): 11.5834 3.5988 10.1683
angles (deg): 90.00 90.00 90.00
Last column: nearest neighbours and their distance in Å.
Space group Pnma (No. 62)
One atom of each set of equivalent atoms:
Tb (0.2028, 0.2500, 0.0837) (multiplicity 4)  6 P 2.76-2.83, 9 Co 2.85-3.07
Co (0.0086, 0.7500, 0.7160) (multiplicity 4)  3 P 2.18-2.41
Co (0.0118, 0.7500, 0.0931) (multiplicity 4)  4 P 2.27-2.28, 1 Co 2.53
Co (0.0684, 0.7500, 0.4689) (multiplicity 4)  4 P 2.12-2.20
Co (0.1764, 0.2500, 0.7804) (multiplicity 4)  4 P 2.14-2.30
Co (0.1979, 0.2500, 0.3833) (multiplicity 4)  4 P 2.24-2.27, 2 Co 2.50
P (0.1088, 0.7500, 0.8978) (multiplicity 4)  7 Co 2.18-2.30
P (0.1112, 0.2500, 0.5832) (multiplicity 4)  5 Co 2.14-2.27
P (0.1290, 0.7500, 0.2719) (multiplicity 4)  5 Co 2.12-2.27



The following is a meta-GGA SCAN calculation of MgInPb2 at its PBEsol-relaxed geometry, from Alexandria via LeMat-Bulk.

Magnetization ... 0.00 μB per formula unit
Uncorrected energy ... -47.48 eV per atom

a b c (Å): 3.6259 5.5678 10.6862
angles (deg): 90.00 90.00 90.00
Last column: nearest neighbours and their distance in Å.
Space group Immm (No. 71)
One atom of each set of equivalent atoms:
Mg (0.0000, 0.0000, 0.0000) (multiplicity 2)  4 Pb 3.16, 4 In 3.32
In (0.0000, 0.0000, 0.5000) (multiplicity 2)  4 Pb 3.30, 4 Mg 3.32, 2 In 3.63
Pb (0.0000, 0.5000, 0.2581) (multiplicity 4)  2 Mg 3.16, 2 In 3.30, 4 Pb 3.33